Record 1
First-principles (GGA-PBEsol) data for a geometry-optimized YTiNb2 structure, as listed in Alexandria.

Results
DOS(E_F): 7.24 states/eV/f.u.
E_form: 1.547 eV per formula unit

Cell lengths 4.7708, 4.7708, 4.7708 Å; angles 60.00, 60.00, 60.00 degrees
Closest atoms and distances in Å follow each position.
Atoms (fractional coordinates):
Y 0.5000 0.5000 0.5000  8 Nb 2.92
Nb 0.2500 0.2500 0.2500  4 Ti 2.92, 4 Y 2.92
Nb 0.7500 0.7500 0.7500  4 Ti 2.92, 4 Y 2.92
Ti 0.0000 0.0000 0.0000  8 Nb 2.92

=====

Record 2
First-principles (GGA-PBEsol) data for a geometry-optimized MnAlCu3 structure, as listed in Alexandria.

Results
DOS(E_F): 2.01 states/eV/f.u.
E_form: 4.610 eV per formula unit

Cell lengths 4.3493, 4.3493, 4.3493 Å; angles 90.00, 90.00, 90.00 degrees
Closest atoms and distances in Å follow each position.
Atoms (fractional coordinates):
Cu 0.5000 0.0000 0.0000  2 Al 2.17
Cu 0.0000 0.5000 0.0000  2 Al 2.17
Cu 0.0000 0.0000 0.5000  2 Al 2.17
Mn 0.5000 0.5000 0.5000  12 Cu 3.08
Al 0.0000 0.0000 0.0000  6 Cu 2.17

=====

Record 3
First-principles (GGA-PBEsol) data for a geometry-optimized Ca2ReSi structure, as listed in Alexandria.

Results
DOS(E_F): 3.69 states/eV/f.u.
Formation energy from raw total energies: 136 meV per atom

Cell lengths 3.5876, 4.9315, 5.7428 Å; angles 115.43, 108.20, 90.00 degrees
Closest atoms and distances in Å follow each position.
Atoms (fractional coordinates):
Si 0.2100 0.7100 0.4200  2 Re 2.34
Ca 0.9708 0.9708 0.9416  4 Si 3.11-3.39, 4 Re 3.16, 4 Ca 3.18-3.37
Ca 0.7639 0.2640 0.5279  4 Si 3.09, 4 Ca 3.18-3.37, 4 Re 3.19-3.35
Re 0.5552 0.5552 0.1105  2 Si 2.34

=====

Record 4
First-principles (GGA-PBEsol) data for a geometry-optimized TlPOs2 structure, as listed in Alexandria.

Results
DOS(E_F): 4.61 states/eV/f.u.
E_form: 4.279 eV per formula unit
Offset from the most stable computed form: 0.451 eV per atom

Cell lengths 2.9601, 4.3394, 4.9802 Å; angles 90.00, 90.00, 90.00 degrees
Closest atoms and distances in Å follow each position.
Atoms (fractional coordinates):
P 0.5000 0.5000 0.0000  4 Os 2.63, 4 Tl 2.90
Tl 0.0000 0.5000 0.5000  4 Os 2.63, 4 P 2.90
Os 0.0000 0.0000 0.0000  4 P 2.63, 4 Os 2.90
Os 0.5000 0.0000 0.5000  4 Tl 2.63, 4 Os 2.90

=====

Record 5
First-principles (GGA-PBEsol) data for a geometry-optimized Ba2NCl structure, as listed in Alexandria.

Results
Formation energy from raw total energies: -1363 meV per atom

Cell lengths 4.0811, 4.0811, 7.9166 Å; angles 75.06, 75.06, 60.00 degrees
Closest atoms and distances in Å follow each position.
Atoms (fractional coordinates):
Cl 0.0000 0.0000 0.0000  6 Ba 3.30
N 0.5000 0.5000 0.5000  6 Ba 2.78
Ba 0.2317 0.2317 0.3049  3 N 2.78
Ba 0.7683 0.7683 0.6951  3 N 2.78

=====

Record 6
First-principles (GGA-PBEsol) data for a geometry-optimized TaOsBr structure, as listed in Alexandria.

Results
DOS(E_F): 0.90 states/eV/f.u.
Formation energy from raw total energies: 593 meV per atom

Cell lengths 2.9850, 4.3524, 4.3524 Å; angles 120.00, 90.00, 90.00 degrees
Closest atoms and distances in Å follow each position.
Atoms (fractional coordinates):
Os 0.7348 0.6667 0.3333  3 Br 2.68, 6 Ta 2.90-2.95, 2 Os 2.98
Ta 0.2193 0.3333 0.6667  3 Br 2.57
Br 0.0459 0.0000 0.0000  3 Ta 2.57, 3 Os 2.68

=====

Record 7
First-principles (GGA-PBEsol) data for a geometry-optimized LaTa2Cl structure, as listed in Alexandria.

Results
DOS(E_F): 3.04 states/eV/f.u.
Formation energy from raw total energies: -58 meV per atom
Offset from the most stable computed form: 0.000 eV per atom

Cell lengths 3.3057, 3.3057, 9.2011 Å; angles 79.65, 79.65, 60.00 degrees
Closest atoms and distances in Å follow each position.
Atoms (fractional coordinates):
Ta 0.7488 0.7488 0.7537  3 Ta 2.68, 3 Cl 2.71
Ta 0.0125 0.0125 0.9626  3 Ta 2.68
La 0.2522 0.2522 0.2433  3 Ta 3.17, 3 Cl 3.29, 6 La 3.31
Cl 0.4865 0.4865 0.5404  3 Ta 2.71

=====

Record 8
First-principles (GGA-PBEsol) data for a geometry-optimized Na4Bi2O5 structure, as listed in Alexandria.

Results
DOS(E_F): 0.00 states/eV/f.u.
Formation energy from raw total energies: -1328 meV per atom
Offset from the most stable computed form: 0.059 eV per atom

Cell lengths 6.1569, 8.6592, 14.1085 Å; angles 95.25, 90.00, 90.00 degrees
Closest atoms and distances in Å follow each position.
Atoms (fractional coordinates):
O 0.6973 0.9594 0.0986  1 Bi 2.13, 2 Na 2.29-2.32
O 0.0967 0.2008 0.1266  1 Bi 2.08, 2 Na 2.28
O 0.7979 0.7556 0.4185  1 Bi 2.08, 3 Na 2.23-2.31
O 0.2530 0.9078 0.4394  1 Bi 2.10, 2 Na 2.28-2.33
O 0.5967 0.2992 0.3734  1 Bi 2.08, 2 Na 2.28
O 0.0755 0.9848 0.6970  2 Bi 2.10-2.27, 1 Na 2.29
O 0.2470 0.4078 0.9394  1 Bi 2.10, 2 Na 2.28-2.33
O 0.7470 0.0922 0.5606  1 Bi 2.10, 2 Na 2.28-2.33
O 0.2021 0.2444 0.5815  1 Bi 2.08, 3 Na 2.23-2.31
O 0.5755 0.5152 0.8030  2 Bi 2.10-2.27, 1 Na 2.29
O 0.8027 0.4594 0.5986  1 Bi 2.13, 2 Na 2.29-2.32
O 0.3027 0.0406 0.9014  1 Bi 2.13, 2 Na 2.29-2.32
O 0.4245 0.4848 0.1969  2 Bi 2.10-2.27, 1 Na 2.29
O 0.4033 0.7008 0.6266  1 Bi 2.08, 2 Na 2.28
O 0.9245 0.0152 0.3030  2 Bi 2.10-2.27, 1 Na 2.29
O 0.2979 0.7444 0.0815  1 Bi 2.08, 3 Na 2.23-2.31
O 0.1973 0.5406 0.4014  1 Bi 2.13, 2 Na 2.29-2.32
O 0.7530 0.5922 0.0606  1 Bi 2.10, 2 Na 2.28-2.33
O 0.7021 0.2556 0.9185  1 Bi 2.08, 3 Na 2.23-2.31
O 0.9033 0.7992 0.8734  1 Bi 2.08, 2 Na 2.28
Na 0.1686 0.5083 0.5736  4 O 2.28-2.48
Na 0.5358 0.2995 0.5331  4 O 2.23-2.29
Na 0.1102 0.4946 0.0994  5 O 2.38-2.61
Na 0.4642 0.7005 0.4669  4 O 2.23-2.29
Na 0.3898 0.9946 0.5994  5 O 2.38-2.61
Na 0.9642 0.7995 0.0331  4 O 2.23-2.29
Na 0.0427 0.1322 0.4463  4 O 2.28-2.48
Na 0.6686 0.9917 0.9264  4 O 2.28-2.48
Na 0.3314 0.0083 0.0736  4 O 2.28-2.48
Na 0.0358 0.2005 0.9669  4 O 2.23-2.29
Na 0.9573 0.8678 0.5537  4 O 2.28-2.48
Na 0.8898 0.5054 0.9006  5 O 2.38-2.61
Na 0.8314 0.4917 0.4264  4 O 2.28-2.48
Na 0.5427 0.3678 0.0537  4 O 2.28-2.48
Na 0.4573 0.6322 0.9463  4 O 2.28-2.48
Na 0.6102 0.0054 0.4006  5 O 2.38-2.61
Bi 0.4322 0.2837 0.8336  3 O 2.08-2.27
Bi 0.5678 0.7163 0.1664  3 O 2.08-2.27
Bi 0.1891 0.8541 0.8048  3 O 2.08-2.13
Bi 0.3109 0.3541 0.3048  3 O 2.08-2.13
Bi 0.8109 0.1459 0.1952  3 O 2.08-2.13
Bi 0.6891 0.6459 0.6952  3 O 2.08-2.13
Bi 0.0678 0.7837 0.3336  3 O 2.08-2.27
Bi 0.9322 0.2163 0.6664  3 O 2.08-2.27

=====

Record 9
First-principles (GGA-PBEsol) data for a geometry-optimized Mn2PPb structure, as listed in Alexandria.

Results
DOS(E_F): 3.37 states/eV/f.u.
E_form: 0.123 eV per formula unit

Cell lengths 3.4605, 3.4605, 6.5823 Å; angles 74.76, 74.76, 60.00 degrees
Closest atoms and distances in Å follow each position.
Atoms (fractional coordinates):
Mn 0.7819 0.7819 0.6542  3 P 2.22
Mn 0.2181 0.2181 0.3458  3 P 2.22
Pb 0.0000 0.0000 0.0000  6 Mn 2.95
P 0.5000 0.5000 0.5000  6 Mn 2.22

=====

Record 10
First-principles (GGA-PBEsol) data for a geometry-optimized Ta2TcIr structure, as listed in Alexandria.

Results
DOS(E_F): 3.74 states/eV/f.u.
E_form: -0.927 eV per formula unit

Cell lengths 3.3704, 4.5508, 5.0019 Å; angles 117.06, 109.69, 90.00 degrees
Closest atoms and distances in Å follow each position.
Atoms (fractional coordinates):
Ir 0.5000 0.0000 0.0000  4 Ta 2.69, 4 Tc 2.83
Ta 0.2535 0.2535 0.5070  2 Tc 2.64, 2 Ir 2.69, 4 Ta 2.83
Ta 0.7465 0.7465 0.4930  2 Tc 2.64, 2 Ir 2.69, 4 Ta 2.83
Tc 0.0000 0.5000 0.0000  4 Ta 2.64, 4 Ir 2.83

=====

Record 11
First-principles (GGA-PBEsol) data for a geometry-optimized LiRe2Br structure, as listed in Alexandria.

Results
DOS(E_F): 3.19 states/eV/f.u.
Formation energy from raw total energies: 1072 meV per atom
Offset from the most stable computed form: 0.057 eV per atom

Cell lengths 2.7295, 2.7295, 9.6832 Å; angles 90.00, 90.00, 119.01 degrees
Closest atoms and distances in Å follow each position.
Atoms (fractional coordinates):
Re 0.0000 0.0000 0.7570  6 Re 2.73-2.77, 2 Li 2.73, 2 Br 2.85
Re 0.0000 0.0000 0.2430  6 Re 2.73-2.77, 2 Li 2.73, 2 Br 2.85
Li 0.5000 0.5000 0.0000  6 Li 2.73-2.77, 4 Re 2.73
Br 0.5000 0.5000 0.5000  6 Br 2.73-2.77, 4 Re 2.85

=====

Record 12
First-principles (GGA-PBEsol) data for a geometry-optimized OsSe2Cl structure, as listed in Alexandria.

Results
DOS(E_F): 3.55 states/eV/f.u.
Formation energy from raw total energies: 1031 meV per atom
Offset from the most stable computed form: 1.010 eV per atom

Cell lengths 3.1530, 4.3549, 4.7953 Å; angles 90.00, 90.00, 90.00 degrees
Closest atoms and distances in Å follow each position.
Atoms (fractional coordinates):
Cl 0.5000 0.0000 0.5000  4 Os 2.69, 4 Se 2.87
Se 0.0000 0.0000 0.0000  4 Se 2.69, 4 Cl 2.87
Se 0.5000 0.5000 0.0000  4 Se 2.69, 4 Os 2.87
Os 0.0000 0.5000 0.5000  4 Cl 2.69, 4 Se 2.87

=====

Record 13
First-principles (GGA-PBEsol) data for a geometry-optimized Al3Ni5 structure, as listed in Alexandria.

Results
DOS(E_F): 3.59 states/eV/f.u.
E_form: -4.628 eV per formula unit

Cell lengths 3.7186, 4.9448, 4.9448 Å; angles 96.90, 90.00, 90.00 degrees
Closest atoms and distances in Å follow each position.
Atoms (fractional coordinates):
Al 0.5000 0.2206 0.7794  10 Ni 2.44-2.54
Al 0.0000 0.5000 0.5000  8 Ni 2.37-2.47
Al 0.5000 0.7794 0.2206  10 Ni 2.44-2.54
Ni 0.0000 0.0000 0.0000  8 Ni 2.47-2.60, 4 Al 2.47
Ni 0.0000 0.5000 0.0000  6 Al 2.47-2.49, 6 Ni 2.47-2.63
Ni 0.5000 0.7239 0.7239  6 Al 2.37-2.54, 6 Ni 2.60-2.63
Ni 0.0000 0.0000 0.5000  6 Ni 2.47-2.63, 6 Al 2.47-2.49
Ni 0.5000 0.2761 0.2761  6 Al 2.37-2.54, 6 Ni 2.60-2.63